No. 1
{"formula": "TiIn2Co", "functional": "GGA-PBE", "state": "optimized geometry", "space_group": "No. 225", "delta_e_f_ev_per_atom": 0.112, "lattice": [[6.5164, 0.0000, 0.0000], [0.0000, 6.5164, 0.0000], [0.0000, 0.0000, 6.5164]], "species": ["Ti", "Ti", "Ti", "Ti", "In", "In", "In", "In", "In", "In", "In", "In", "Co", "Co", "Co", "Co"], "fractional_positions": [[0.0000, 0.0000, 0.0000], [0.0000, 0.5000, 0.5000], [0.5000, 0.0000, 0.5000], [0.5000, 0.5000, 0.0000], [0.2500, 0.2500, 0.2500], [0.2500, 0.2500, 0.7500], [0.2500, 0.7500, 0.2500], [0.2500, 0.7500, 0.7500], [0.7500, 0.2500, 0.2500], [0.7500, 0.2500, 0.7500], [0.7500, 0.7500, 0.2500], [0.7500, 0.7500, 0.7500], [0.0000, 0.0000, 0.5000], [0.0000, 0.5000, 0.0000], [0.5000, 0.0000, 0.0000], [0.5000, 0.5000, 0.5000]]}

***

No. 2
{"formula": "Ti4InCo5", "functional": "GGA-PBE", "state": "optimized geometry", "space_group": "No. 123", "delta_e_f_ev_per_atom": -0.326, "lattice": [[3.0004, 0.0000, 0.0000], [0.0000, 3.0004, 0.0000], [0.0000, 0.0000, 15.1581]], "species": ["Ti", "Ti", "Ti", "Ti", "In", "Co", "Co", "Co", "Co", "Co"], "fractional_positions": [[0.0000, 0.0000, 0.0975], [0.0000, 0.0000, 0.2948], [0.0000, 0.0000, 0.7052], [0.0000, 0.0000, 0.9025], [0.0000, 0.0000, 0.5000], [0.5000, 0.5000, 0.0000], [0.5000, 0.5000, 0.1942], [0.5000, 0.5000, 0.3804], [0.5000, 0.5000, 0.6196], [0.5000, 0.5000, 0.8058]]}

***

No. 3
{"formula": "Ti4InCo", "functional": "GGA-PBE", "state": "optimized geometry", "space_group": "No. 2", "delta_e_f_ev_per_atom": -0.058, "lattice": [[5.0288, 0.0000, 0.0000], [0.0096, 6.7628, 0.0000], [2.5084, 2.8424, 5.8606]], "species": ["Ti", "Ti", "Ti", "Ti", "Ti", "Ti", "Ti", "Ti", "In", "In", "Co", "Co"], "fractional_positions": [[0.0253, 0.1132, 0.1299], [0.2907, 0.3269, 0.6717], [0.3444, 0.6138, 0.1303], [0.4620, 0.1727, 0.3281], [0.5380, 0.8273, 0.6719], [0.6556, 0.3862, 0.8697], [0.7093, 0.6731, 0.3283], [0.9747, 0.8868, 0.8701], [0.1261, 0.7498, 0.5006], [0.8739, 0.2502, 0.4994], [0.0000, 0.5000, 0.0000], [0.5000, 0.0000, 0.0000]]}

***

No. 4
{"formula": "Ti5InCo", "functional": "GGA-PBE", "state": "optimized geometry", "space_group": "No. 15", "delta_e_f_ev_per_atom": -0.033, "lattice": [[3.4928, -3.4991, 0.0000], [3.4928, 3.4991, 0.0000], [-2.5290, 0.0000, 9.6203]], "species": ["Ti", "Ti", "Ti", "Ti", "Ti", "Ti", "Ti", "Ti", "Ti", "Ti", "In", "In", "Co", "Co"], "fractional_positions": [[0.0320, 0.9680, 0.7500], [0.0866, 0.4384, 0.6200], [0.2179, 0.5018, 0.9319], [0.4384, 0.0866, 0.1200], [0.4982, 0.7821, 0.5681], [0.5018, 0.2179, 0.4319], [0.5616, 0.9134, 0.8800], [0.7821, 0.4982, 0.0681], [0.9134, 0.5616, 0.3800], [0.9680, 0.0320, 0.2500], [0.3729, 0.6271, 0.2500], [0.6271, 0.3729, 0.7500], [0.0000, 0.0000, 0.0000], [0.0000, 0.0000, 0.5000]]}

***

No. 5
{"formula": "Ti2InCo3", "functional": "GGA-PBE", "state": "optimized geometry", "space_group": "No. 123", "delta_e_f_ev_per_atom": -0.295, "lattice": [[3.0240, 0.0000, 0.0000], [0.0000, 3.0240, 0.0000], [0.0000, 0.0000, 9.1312]], "species": ["Ti", "Ti", "In", "Co", "Co", "Co"], "fractional_positions": [[0.0000, 0.0000, 0.1626], [0.0000, 0.0000, 0.8374], [0.0000, 0.0000, 0.5000], [0.5000, 0.5000, 0.0000], [0.5000, 0.5000, 0.3038], [0.5000, 0.5000, 0.6962]]}

***

No. 6
{"formula": "Ti2In2Co", "functional": "GGA-PBE", "state": "optimized geometry", "polymorph_energy_ev_per_fu": 0.378, "space_group": "No. 127", "delta_e_f_ev_per_atom": 0.187, "lattice": [[6.7274, 0.0000, 0.0000], [0.0000, 6.7274, 0.0000], [0.0000, 0.0000, 4.0737]], "species": ["Ti", "Ti", "Ti", "Ti", "In", "In", "In", "In", "Co", "Co"], "fractional_positions": [[0.1609, 0.3391, 0.0000], [0.3391, 0.8391, 0.0000], [0.6609, 0.1609, 0.0000], [0.8391, 0.6609, 0.0000], [0.1473, 0.6473, 0.5000], [0.3527, 0.1473, 0.5000], [0.6473, 0.8527, 0.5000], [0.8527, 0.3527, 0.5000], [0.0000, 0.0000, 0.5000], [0.5000, 0.5000, 0.5000]]}

***

No. 7
{"formula": "TiVInCo2", "functional": "GGA-PBE", "state": "optimized geometry", "space_group": "No. 123", "delta_e_f_ev_per_atom": 1.813, "lattice": [[4.5103, 0.0000, 0.0000], [0.0000, 4.5103, 0.0000], [0.0000, 0.0000, 4.9149]], "species": ["Ti", "V", "In", "Co", "Co"], "fractional_positions": [[0.0000, 0.0000, 0.0000], [0.5000, 0.5000, 0.0000], [0.0000, 0.0000, 0.5000], [0.0000, 0.5000, 0.5000], [0.5000, 0.0000, 0.5000]]}

***

No. 8
{"formula": "TiVInCo", "functional": "GGA-PBE", "state": "optimized geometry", "space_group": "No. 216", "delta_e_f_ev_per_atom": -0.047, "lattice": [[6.2589, 0.0000, 0.0000], [0.0000, 6.2589, 0.0000], [0.0000, 0.0000, 6.2589]], "species": ["Ti", "Ti", "Ti", "Ti", "V", "V", "V", "V", "In", "In", "In", "In", "Co", "Co", "Co", "Co"], "fractional_positions": [[0.0000, 0.0000, 0.0000], [0.0000, 0.5000, 0.5000], [0.5000, 0.0000, 0.5000], [0.5000, 0.5000, 0.0000], [0.2500, 0.2500, 0.7500], [0.2500, 0.7500, 0.2500], [0.7500, 0.2500, 0.2500], [0.7500, 0.7500, 0.7500], [0.0000, 0.0000, 0.5000], [0.0000, 0.5000, 0.0000], [0.5000, 0.0000, 0.0000], [0.5000, 0.5000, 0.5000], [0.2500, 0.2500, 0.2500], [0.2500, 0.7500, 0.7500], [0.7500, 0.2500, 0.7500], [0.7500, 0.7500, 0.2500]]}